(1)
The following is a PBE calculation of CaPdN3 after structural relaxation, from Alexandria via LeMat-Bulk.

a b c (Å): 4.2264 4.2264 4.2264
angles (deg): 90.00 90.00 90.00
Space group Pm-3m (No. 221)
One atom of each set of equivalent atoms:
Ca1 0.0000 0.0000 0.0000
Pd1 0.5000 0.5000 0.5000
N1 0.0000 0.0000 0.5000

Energy relative to the elements, uncorrected   2.46 eV/atom

=====

(2)
The following is a PBE calculation of K2FeCl2 after structural relaxation, from Alexandria via LeMat-Bulk.

a b c (Å): 8.5885 8.5885 3.9162
angles (deg): 90.00 90.00 90.00
Space group P4/mbm (No. 127)
One atom of each set of equivalent atoms:
K1 0.1494 0.3506 0.0000
Fe1 0.0000 0.0000 0.5000
Cl1 0.1540 0.6540 0.5000

Energy above the most stable polymorph in this dataset   6.2 kJ/mol of atoms
Energy relative to the elements, uncorrected   -0.64 eV/atom

=====

(3)
The following is a PBE calculation of Ca2NdCu after structural relaxation, from Alexandria via LeMat-Bulk.

a b c (Å): 3.5395 3.5395 9.6397
angles (deg): 90.00 90.00 90.00
Space group P4/mmm (No. 123)
One atom of each set of equivalent atoms:
Ca1 0.0000 0.0000 0.1874
Nd1 0.5000 0.5000 0.5000
Cu1 0.5000 0.5000 0.0000

Energy above the most stable polymorph in this dataset   4.4 kJ/mol of atoms
Energy of formation   0.03 eV per atom

=====

Please write out number 2 again, unchanged.
The following is a PBE calculation of K2FeCl2 after structural relaxation, from Alexandria via LeMat-Bulk.

a b c (Å): 8.5885 8.5885 3.9162
angles (deg): 90.00 90.00 90.00
Space group P4/mbm (No. 127)
One atom of each set of equivalent atoms:
K1 0.1494 0.3506 0.0000
Fe1 0.0000 0.0000 0.5000
Cl1 0.1540 0.6540 0.5000

Energy above the most stable polymorph in this dataset   6.2 kJ/mol of atoms
Energy relative to the elements, uncorrected   -0.64 eV/atom